Be2GaH2 | GGA-PBE | optimized geometry

Cell lengths 2.703, 2.703, 5.861 Å; angles 76.67, 76.67, 90.00 degrees
Fractional coordinates of all 5 atoms:
Be 0.339 0.339 0.322
Be 0.661 0.661 0.678
Ga 0.000 0.000 0.000
H 0.750 0.250 0.500
H 0.250 0.750 0.500

Properties
Distance to the lowest polymorph of the same formula (meV/atom): 0.0
Calculated total energy (eV per atom): -3.0942
N(E_F) (states/eV/atom): 0.13
Mass density (g/cm3): 3.68